# MgCrMo2

A geometry-optimized MgCrMo2 structure (PBE, the Alexandria database).

**Formation enthalpy at 0 K**: 0.391 eV per atom
**Uncorrected energy**: -31.3 eV/cell
**ρ**: 7.08 g/cm3
**Spin magnetization**: 2.5 μB per formula unit

Cell lengths 3.2039, 4.3346, 4.5279 Å; angles 90.00, 90.00, 90.00 degrees
With the nearest neighbours (Å) after each atom.
Sites, in units of the cell vectors:
Mg: 0.0000 0.0000 0.0000  4 Cr 2.70, 4 Mo 2.77
Cr: 0.5000 0.5000 0.0000  4 Mg 2.70, 4 Mo 2.77
Mo: 0.0000 0.5000 0.5000  4 Mo 2.70, 4 Cr 2.77
Mo: 0.5000 0.0000 0.5000  4 Mo 2.70, 4 Mg 2.77


# Mg3CrMo

A geometry-optimized Mg3CrMo structure (PBE, the Alexandria database).

**Energy relative to the lowest polymorph listed for this composition**: 0.00 eV per formula unit
**Formation enthalpy at 0 K**: 1.421 eV per atom
**Uncorrected energy**: -18.1 eV/cell
**ρ**: 3.06 g/cm3
**Spin magnetization**: 7.1 μB per formula unit

Cell lengths 4.9325, 4.9325, 4.9325 Å; angles 90.00, 90.00, 90.00 degrees
With the nearest neighbours (Å) after each atom.
Sites, in units of the cell vectors:
Mg: 0.0000 0.0000 0.5000  2 Cr 2.47
Mg: 0.0000 0.5000 0.0000  2 Cr 2.47
Mg: 0.5000 0.0000 0.0000  2 Cr 2.47
Cr: 0.0000 0.0000 0.0000  6 Mg 2.47
Mo: 0.5000 0.5000 0.5000  12 Mg 3.49


# MgCr2Mo

A geometry-optimized MgCr2Mo structure (PBE, the Alexandria database).

**Formation enthalpy at 0 K**: 0.400 eV per atom
**Uncorrected energy**: -30.1 eV/cell
**ρ**: 6.48 g/cm3
**Spin magnetization**: 0.0 μB per formula unit

Cell lengths 2.5990, 4.2767, 5.2379 Å; angles 90.00, 99.23, 90.00 degrees
With the nearest neighbours (Å) after each atom.
Sites, in units of the cell vectors:
Mg: 0.0000 0.0000 0.0000  2 Mg 2.60, 4 Cr 2.71, 2 Mo 2.73
Cr: 0.2538 0.5000 0.7271  3 Cr 2.53-2.60, 2 Mo 2.58, 2 Mg 2.71
Cr: 0.7462 0.5000 0.2729  3 Cr 2.53-2.60, 2 Mo 2.58, 2 Mg 2.71
Mo: 0.5000 0.0000 0.5000  4 Cr 2.58, 2 Mo 2.60, 2 Mg 2.73


# MgCr2Mo

A geometry-optimized MgCr2Mo structure (PBE, the Alexandria database).

**Formation enthalpy at 0 K**: 0.345 eV per atom
**Uncorrected energy**: -60.6 eV/cell
**ρ**: 6.42 g/cm3
**Spin magnetization**: 0.0 μB per formula unit

Cell lengths 3.0691, 4.3382, 8.7135 Å; angles 90.00, 90.00, 90.00 degrees
With the nearest neighbours (Å) after each atom.
Sites, in units of the cell vectors:
Mg: 0.0000 0.0000 0.0000  4 Mg 2.66, 4 Cr 2.77
Mg: 0.5000 0.5000 0.0000  4 Mg 2.66, 4 Cr 2.77
Cr: 0.0000 0.5000 0.2645  2 Mo 2.56, 4 Cr 2.66, 2 Mg 2.77
Cr: 0.0000 0.5000 0.7355  2 Mo 2.56, 4 Cr 2.66, 2 Mg 2.77
Cr: 0.5000 0.0000 0.2645  2 Mo 2.56, 4 Cr 2.66, 2 Mg 2.77
Cr: 0.5000 0.0000 0.7355  2 Mo 2.56, 4 Cr 2.66, 2 Mg 2.77
Mo: 0.0000 0.0000 0.5000  4 Cr 2.56, 4 Mo 2.66
Mo: 0.5000 0.5000 0.5000  4 Cr 2.56, 4 Mo 2.66


# Mg6CrMo

A geometry-optimized Mg6CrMo structure (PBE, the Alexandria database).

**Energy relative to the lowest polymorph listed for this composition**: 0.34 eV per formula unit
**Formation enthalpy at 0 K**: 0.312 eV per atom
**Uncorrected energy**: -55.0 eV/cell
**ρ**: 3.11 g/cm3
**Spin magnetization**: 2.4 μB per formula unit

Cell lengths 4.9139, 5.8673, 10.8869 Å; angles 90.00, 90.00, 90.00 degrees
With the nearest neighbours (Å) after each atom.
Sites, in units of the cell vectors:
Mg: 0.0000 0.0000 0.0000  2 Mo 2.93, 10 Mg 2.93-3.24
Mg: 0.0000 0.0000 0.4976  10 Mg 2.93-3.22, 2 Cr 2.95
Mg: 0.0000 0.2435 0.7631  6 Mg 2.86-3.02, 2 Mo 3.01, 2 Cr 3.03
Mg: 0.0000 0.2565 0.2631  6 Mg 2.86-3.02, 2 Mo 3.01, 2 Cr 3.03
Mg: 0.0000 0.5000 0.5000  2 Mo 2.93, 10 Mg 2.93-3.24
Mg: 0.0000 0.5000 0.9976  10 Mg 2.93-3.22, 2 Cr 2.95
Mg: 0.0000 0.7435 0.2631  6 Mg 2.86-3.02, 2 Mo 3.01, 2 Cr 3.03
Mg: 0.0000 0.7565 0.7631  6 Mg 2.86-3.02, 2 Mo 3.01, 2 Cr 3.03
Mg: 0.5000 0.2500 0.1017  8 Mg 2.93-3.08, 2 Cr 3.06-3.13, 2 Mo 3.08-3.11
Mg: 0.5000 0.2500 0.6017  8 Mg 2.93-3.08, 2 Cr 3.06-3.13, 2 Mo 3.08-3.11
Mg: 0.5000 0.7500 0.1017  8 Mg 2.93-3.08, 2 Cr 3.06-3.13, 2 Mo 3.08-3.11
Mg: 0.5000 0.7500 0.6017  8 Mg 2.93-3.08, 2 Cr 3.06-3.13, 2 Mo 3.08-3.11
Cr: 0.5000 0.0000 0.3482  2 Mo 2.93, 10 Mg 2.95-3.13
Cr: 0.5000 0.5000 0.8482  2 Mo 2.93, 10 Mg 2.95-3.13
Mo: 0.5000 0.0000 0.8534  10 Mg 2.93-3.11, 2 Cr 2.93
Mo: 0.5000 0.5000 0.3534  10 Mg 2.93-3.11, 2 Cr 2.93


# MgCr2Mo

A geometry-optimized MgCr2Mo structure (PBE, the Alexandria database).

**Formation enthalpy at 0 K**: 0.417 eV per atom
**Uncorrected energy**: -90.0 eV/cell
**ρ**: 6.28 g/cm3
**Spin magnetization**: 0.0 μB per formula unit

Cell lengths 2.7947, 2.7947, 26.2910 Å; angles 90.00, 90.00, 120.00 degrees
With the nearest neighbours (Å) after each atom.
Sites, in units of the cell vectors:
Mg: 0.0000 0.0000 0.0000  6 Mg 2.79, 3 Cr 2.90, 3 Mo 2.98
Mg: 0.3333 0.6667 0.6667  6 Mg 2.79, 3 Cr 2.90, 3 Mo 2.98
Mg: 0.6667 0.3333 0.3333  6 Mg 2.79, 3 Cr 2.90, 3 Mo 2.98
Cr: 0.0000 0.0000 0.2416  3 Cr 2.29
Cr: 0.0000 0.0000 0.5130  3 Cr 2.29
Cr: 0.3333 0.6667 0.1796  3 Cr 2.29
Cr: 0.3333 0.6667 0.9083  3 Cr 2.29
Cr: 0.6667 0.3333 0.5750  3 Cr 2.29
Cr: 0.6667 0.3333 0.8463  3 Cr 2.29
Mo: 0.0000 0.0000 0.7622  3 Cr 2.74, 6 Mo 2.79, 3 Mg 2.98
Mo: 0.3333 0.6667 0.4288  3 Cr 2.74, 6 Mo 2.79, 3 Mg 2.98
Mo: 0.6667 0.3333 0.0955  3 Cr 2.74, 6 Mo 2.79, 3 Mg 2.98


# Mg2CrMo

A geometry-optimized Mg2CrMo structure (PBE, the Alexandria database).

**Energy relative to the lowest polymorph listed for this composition**: 0.99 eV per formula unit
**Formation enthalpy at 0 K**: 0.474 eV per atom
**Uncorrected energy**: -43.5 eV/cell
**ρ**: 5.09 g/cm3
**Spin magnetization**: 0.2 μB per formula unit

Cell lengths 5.3067, 9.2645, 2.6652 Å; angles 90.00, 101.83, 90.00 degrees
With the nearest neighbours (Å) after each atom.
Sites, in units of the cell vectors:
Mg: 0.2500 0.2500 0.0000  4 Mg 2.65-2.67, 2 Cr 2.86, 2 Mo 2.86
Mg: 0.2500 0.7500 0.0000  4 Mg 2.65-2.67, 2 Cr 2.86, 2 Mo 2.86
Mg: 0.7500 0.2500 0.0000  4 Mg 2.65-2.67, 2 Cr 2.86, 2 Mo 2.86
Mg: 0.7500 0.7500 0.0000  4 Mg 2.65-2.67, 2 Cr 2.86, 2 Mo 2.86
Cr: 0.0000 0.0000 0.5000  2 Mo 2.65, 2 Cr 2.67, 4 Mg 2.86
Cr: 0.5000 0.5000 0.5000  2 Mo 2.65, 2 Cr 2.67, 4 Mg 2.86
Mo: 0.0000 0.5000 0.5000  2 Cr 2.65, 2 Mo 2.67, 4 Mg 2.86
Mo: 0.5000 0.0000 0.5000  2 Cr 2.65, 2 Mo 2.67, 4 Mg 2.86


# Mg3CrMo

A geometry-optimized Mg3CrMo structure (PBE, the Alexandria database).

**Energy relative to the lowest polymorph listed for this composition**: 2.00 eV per formula unit
**Formation enthalpy at 0 K**: 1.820 eV per atom
**Uncorrected energy**: -16.1 eV/cell
**ρ**: 2.81 g/cm3
**Spin magnetization**: 1.9 μB per formula unit

Cell lengths 5.0720, 5.0720, 5.0720 Å; angles 90.00, 90.00, 90.00 degrees
With the nearest neighbours (Å) after each atom.
Sites, in units of the cell vectors:
Mg: 0.0000 0.0000 0.5000  2 Mo 2.54
Mg: 0.0000 0.5000 0.0000  2 Mo 2.54
Mg: 0.5000 0.0000 0.0000  2 Mo 2.54
Cr: 0.5000 0.5000 0.5000  12 Mg 3.59
Mo: 0.0000 0.0000 0.0000  6 Mg 2.54


Repeat the sixth record exactly.
# MgCr2Mo

A geometry-optimized MgCr2Mo structure (PBE, the Alexandria database).

**Formation enthalpy at 0 K**: 0.417 eV per atom
**Uncorrected energy**: -90.0 eV/cell
**ρ**: 6.28 g/cm3
**Spin magnetization**: 0.0 μB per formula unit

Cell lengths 2.7947, 2.7947, 26.2910 Å; angles 90.00, 90.00, 120.00 degrees
With the nearest neighbours (Å) after each atom.
Sites, in units of the cell vectors:
Mg: 0.0000 0.0000 0.0000  6 Mg 2.79, 3 Cr 2.90, 3 Mo 2.98
Mg: 0.3333 0.6667 0.6667  6 Mg 2.79, 3 Cr 2.90, 3 Mo 2.98
Mg: 0.6667 0.3333 0.3333  6 Mg 2.79, 3 Cr 2.90, 3 Mo 2.98
Cr: 0.0000 0.0000 0.2416  3 Cr 2.29
Cr: 0.0000 0.0000 0.5130  3 Cr 2.29
Cr: 0.3333 0.6667 0.1796  3 Cr 2.29
Cr: 0.3333 0.6667 0.9083  3 Cr 2.29
Cr: 0.6667 0.3333 0.5750  3 Cr 2.29
Cr: 0.6667 0.3333 0.8463  3 Cr 2.29
Mo: 0.0000 0.0000 0.7622  3 Cr 2.74, 6 Mo 2.79, 3 Mg 2.98
Mo: 0.3333 0.6667 0.4288  3 Cr 2.74, 6 Mo 2.79, 3 Mg 2.98
Mo: 0.6667 0.3333 0.0955  3 Cr 2.74, 6 Mo 2.79, 3 Mg 2.98


Copy entry 3 word for word.
# MgCr2Mo

A geometry-optimized MgCr2Mo structure (PBE, the Alexandria database).

**Formation enthalpy at 0 K**: 0.400 eV per atom
**Uncorrected energy**: -30.1 eV/cell
**ρ**: 6.48 g/cm3
**Spin magnetization**: 0.0 μB per formula unit

Cell lengths 2.5990, 4.2767, 5.2379 Å; angles 90.00, 99.23, 90.00 degrees
With the nearest neighbours (Å) after each atom.
Sites, in units of the cell vectors:
Mg: 0.0000 0.0000 0.0000  2 Mg 2.60, 4 Cr 2.71, 2 Mo 2.73
Cr: 0.2538 0.5000 0.7271  3 Cr 2.53-2.60, 2 Mo 2.58, 2 Mg 2.71
Cr: 0.7462 0.5000 0.2729  3 Cr 2.53-2.60, 2 Mo 2.58, 2 Mg 2.71
Mo: 0.5000 0.0000 0.5000  4 Cr 2.58, 2 Mo 2.60, 2 Mg 2.73